GGA-PBEsol Ca3Cd, optimized geometry; DOS(E_F) = 4.04 states/eV per cell; energy = -8.01 eV per formula unit; total moment = 0.0 μB/cell; crystal system = tetragonal; energy of formation from the pure elements = -104 meV per atom
1.0
-0.9986 5.2544 1.7464
-0.0457 -1.7823 5.3363
4.4046 -1.0818 -3.2896
Ca Cd
3 1
direct
0.7500 0.2500 0.5000
0.2500 0.7500 0.5000
0.5000 0.5000 0.0000
0.0000 0.0000 0.0000

---

GGA-PBEsol RuPt2, optimized geometry; DOS(E_F) = 7.61 states/eV per cell; energy = -24.04 eV per formula unit; total moment = 0.0 μB/cell; crystal system = orthorhombic; energy of formation from the pure elements = 20 meV per atom
1.0
3.8426 0.0000 0.0000
0.0000 3.8535 0.0000
-1.9213 0.0000 5.8289
Pt Ru
4 2
direct
0.7519 0.7500 0.5038
0.2481 0.2500 0.4962
0.0799 0.7500 0.1599
0.9201 0.2500 0.8401
0.5789 0.2500 0.1579
0.4211 0.7500 0.8421

---

GGA-PBEsol BaNiW, optimized geometry; DOS(E_F) = 4.17 states/eV per cell; energy = -17.01 eV per formula unit; total moment = 3.4 μB/cell; crystal system = cubic; energy of formation from the pure elements = 1701 meV per atom
1.0
-0.6539 0.2711 4.6101
-4.2277 -0.7865 1.8060
-0.7953 -3.8729 2.4743
W Ba Ni
1 1 1
direct
0.0000 0.0000 0.0000
0.5000 0.5000 0.5000
0.2500 0.2500 0.2500

---

GGA-PBEsol PW2Se, optimized geometry; ΔE_f (raw) = -0.017 eV/atom; DOS(E_F) = 2.18 states/eV per cell; energy = -37.32 eV per formula unit; energy relative to the lowest polymorph listed for this composition = 0 meV per atom; total moment = 0.0 μB/cell; crystal system = orthorhombic
1.0
3.1339 0.0000 0.0000
0.0000 3.2861 0.0000
-1.5670 -1.6430 6.1961
W P Se
2 1 1
direct
0.6830 0.1830 0.3660
0.9818 0.9818 0.9636
0.5428 0.5428 0.0856
0.2924 0.7924 0.5848

---

GGA-PBEsol SbPt2S, optimized geometry; ΔE_f (raw) = -0.213 eV/atom; DOS(E_F) = 2.43 states/eV per cell; energy = -23.72 eV per formula unit; total moment = 0.0 μB/cell; crystal system = tetragonal
1.0
-2.0425 -2.3755 -3.6891
2.8530 -3.8106 0.8742
-5.2127 0.4890 5.7460
Pt Sb S
4 2 2
direct
0.7787 0.3750 0.2500
0.1250 0.2213 0.7500
0.6250 0.5287 0.7500
0.4713 0.8750 0.2500
0.0000 0.0000 0.0000
0.2500 0.7500 0.5000
0.7500 0.2500 0.5000
0.5000 0.5000 0.0000

---

GGA-PBEsol FeTePt, optimized geometry; ΔE_f (raw) = 0.176 eV/atom; DOS(E_F) = 4.54 states/eV per cell; energy = -18.92 eV per formula unit; energy relative to the lowest polymorph listed for this composition = 0 meV per atom; total moment = 3.6 μB/cell; crystal system = cubic
1.0
-0.2985 -3.2443 -2.8874
2.8886 -0.3002 -3.2431
2.9543 -3.1975 0.0055
Te Pt Fe
1 1 1
direct
0.0000 0.0000 0.0000
0.2500 0.2500 0.2500
0.5000 0.5000 0.5000

---

GGA-PBEsol AgHg2As, optimized geometry; DOS(E_F) = 1.70 states/eV per cell; energy = -8.77 eV per formula unit; total moment = 0.0 μB/cell; crystal system = trigonal; energy of formation from the pure elements = 194 meV per atom
1.0
3.1355 0.0000 0.0000
1.5677 2.7154 0.0000
1.5677 0.9051 9.3714
As Hg Ag
1 2 1
direct
0.0000 0.0000 0.0000
0.7530 0.7530 0.7409
0.2470 0.2470 0.2591
0.5000 0.5000 0.5000

---

GGA-PBEsol Tl5Hg24, optimized geometry; DOS(E_F) = 10.52 states/eV per cell; energy = -26.86 eV per formula unit; total moment = 0.0 μB/cell; crystal system = cubic; energy of formation from the pure elements = -4 meV per atom
1.0
-7.6345 5.8045 -1.5191
-3.0092 -8.3317 3.9765
6.2517 4.3790 6.0023
Hg Tl
24 5
direct
0.3833 0.1929 0.0000
0.3833 0.0000 0.1929
0.8071 0.1904 0.8071
0.6837 0.0000 0.4103
0.2735 0.5897 0.5897
0.4103 0.0000 0.6837
0.0000 0.3833 0.1929
0.3163 0.7265 0.3163
0.4103 0.6837 0.0000
0.8096 0.6167 0.6167
0.1929 0.3833 0.0000
0.7265 0.3163 0.3163
0.1929 0.0000 0.3833
0.5897 0.5897 0.2735
0.0000 0.6837 0.4103
0.8071 0.8071 0.1904
0.6837 0.4103 0.0000
0.1904 0.8071 0.8071
0.0000 0.1929 0.3833
0.3163 0.3163 0.7265
0.5897 0.2735 0.5897
0.6167 0.8096 0.6167
0.6167 0.6167 0.8096
0.0000 0.4103 0.6837
0.0000 0.6417 0.0000
0.3583 0.3583 0.3583
0.0000 0.0000 0.6417
0.6417 0.0000 0.0000
0.0000 0.0000 0.0000

---

GGA-PBEsol Zr2Br, optimized geometry; ΔE_f (raw) = -0.279 eV/atom; DOS(E_F) = 2.52 states/eV per cell; energy = -20.89 eV per formula unit; total moment = 0.0 μB/cell; crystal system = tetragonal
1.0
3.1602 0.0000 0.0000
0.0000 3.1602 0.0000
-1.5801 -1.5801 6.4248
Zr Br
2 1
direct
0.1653 0.1653 0.3305
0.8347 0.8347 0.6695
0.5000 0.5000 0.0000

---

GGA-PBEsol ZrZn, optimized geometry; DOS(E_F) = 2.94 states/eV per cell; energy = -11.07 eV per formula unit; total moment = 0.0 μB/cell; crystal system = monoclinic; energy of formation from the pure elements = -199 meV per atom
1.0
-1.3693 0.4086 -2.7352
5.6070 -1.0781 -1.2273
-2.8148 -5.7661 0.5479
Zr Zn
3 3
direct
0.3127 0.6254 0.1168
0.2949 0.5898 0.6071
0.9941 0.9882 0.4610
0.6236 0.2472 0.2305
0.9762 0.9523 0.9355
0.6318 0.2636 0.8158

---

GGA-PBEsol Be2BiAu2, optimized geometry; DOS(E_F) = 0.94 states/eV per cell; energy = -20.52 eV per formula unit; total moment = 0.0 μB/cell; crystal system = tetragonal; energy of formation from the pure elements = -78 meV per atom
1.0
3.4028 0.0000 0.0000
0.0000 3.4028 0.0000
-1.7014 -1.7014 7.3104
Au Be Bi
2 2 1
direct
0.6424 0.6424 0.2849
0.3576 0.3576 0.7151
0.7500 0.2500 0.5000
0.2500 0.7500 0.5000
0.0000 0.0000 0.0000

---

GGA-PBEsol MgTl2As, optimized geometry; DOS(E_F) = 1.59 states/eV per cell; energy = -12.45 eV per formula unit; energy relative to the lowest polymorph listed for this composition = 0 meV per atom; total moment = 0.0 μB/cell; crystal system = tetragonal; energy of formation from the pure elements = -91 meV per atom
1.0
3.5476 0.0000 0.0000
0.0000 3.5476 0.0000
0.0000 0.0000 7.7866
As Tl Mg
1 2 1
direct
0.0000 0.0000 0.5504
0.0000 0.0000 0.9690
0.5000 0.5000 0.2816
0.5000 0.5000 0.6991

---

- Look up the energy of the sixth one.
  -18.92 eV per formula unit

---

- What is the total moment in the eleventh record?
  0.0 μB/cell

---

- The highest DOS(E_F) belongs to which entry?
  Tl5Hg24